A plane-wave DFT calculation with GGA+U was carried out for a relaxed structure of Ca3Fe2Re2O12.

extended XYZ file:
```
19
Lattice="-1.1779 -2.6444 4.5624 5.3358 -0.0589 1.3948 -0.8784 6.7569 3.6703" Properties=species:S:1:pos:R:3 pbc="T T T"
Ca 4.3828 4.9912 4.1433
Ca 1.1877 3.7355 5.6373
Ca 2.0935 0.3263 4.0061
O -1.2621 3.5593 5.4685
O 0.3744 1.2800 5.3558
O 2.6235 5.6500 5.8884
O 0.7360 -1.6121 3.6812
O -0.0059 5.8163 4.7823
O 1.0359 2.5579 7.6757
O 4.5443 0.4317 4.2380
O 2.7825 0.9853 6.3907
O 2.2257 1.5095 1.9655
O 2.9276 2.8423 4.2529
O 0.4477 3.1773 3.2518
O 3.2791 -1.8796 4.7855
Re 1.0258 0.6685 7.0474
Re -0.5918 -1.2868 2.3323
Fe 2.6113 -0.0074 0.7032
Fe 4.3082 1.9724 5.5065
```

Properties
ρ   5.7 Mg/m³
E_tot   -7.4033 eV per atom